A plane-wave DFT calculation with GGA-PBE was carried out for a geometry-optimized Dy5PbS4 structure.

Calculated values
Formation energy without anion corrections (eV per atom): -1.644
Space-group type: No. 12
Theoretical density (g cm⁻³): 8.29

Cell: 3.941 6.962 9.117 Å, 76.06 77.52 73.56°
Fractional positions:
Dy (0.206, 0.907, 0.680)
Dy (0.794, 0.093, 0.320)
Dy (0.391, 0.338, 0.879)
Dy (0.000, 0.500, 0.500)
Dy (0.609, 0.662, 0.121)
Pb (0.000, 0.000, 0.000)
S (0.595, 0.210, 0.600)
S (0.204, 0.381, 0.211)
S (0.796, 0.619, 0.789)
S (0.405, 0.790, 0.400)